Compound: BaFe2Rh
Source: the Alexandria database
Functional: PBE
Structure: relaxed

Cell lengths 3.315, 3.315, 7.350 Å; angles 90.00, 90.00, 90.00 degrees
Fractional positions:
1 Ba 0.000 0.000 0.000
2 Fe 0.500 0.500 0.345
3 Fe 0.500 0.500 0.655
4 Rh 0.000 0.000 0.500

Properties
**Energy relative to the elements**: 0.459 eV per atom
**Spin magnetization**: 1.498 μB/atom
**Calculated volume**: 80.8 Å³ per cell
**Symmetry**: P4/mmm (123)
**Electronic total energy**: -6.091 eV/atom